A relaxed structure of SrNbNi2. Source: OQMD, functional PBE-GGA.

## Properties
Magnetic moment in μB per formula unit: 0.0
E_tot in eV per atom: -5.04
Crystal system: cubic

Cell: 4.542 4.542 4.542 Å, 60.00 60.00 60.00°
Fractional coordinates of all 4 atoms:
Sr (0.000, 0.000, 0.000)
Nb (0.750, 0.750, 0.750)
Ni (0.250, 0.250, 0.250)
Ni (0.500, 0.500, 0.500)